Ac2MnCdSe5 | PBE | relaxed

Output
Raw formation energy in kJ per mole of atoms: -129
Energy in eV per cell: -191.13
M_tot in μB/cell: 20.0

Cell lengths 4.345, 17.642, 12.671 Å; angles 90.00, 90.00, 90.00 degrees
Space group Cmc2_1 (No. 36)
Symmetry-distinct sites (fractional):
Ac1 0.000 0.121 0.000 (multiplicity 4)
Ac2 0.000 0.124 0.637 (multiplicity 4)
Mn1 0.000 0.441 0.741 (multiplicity 4)
Cd1 0.000 0.189 0.338 (multiplicity 4)
Se1 0.000 0.024 0.327 (multiplicity 4)
Se2 0.000 0.300 0.983 (multiplicity 4)
Se3 0.000 0.309 0.664 (multiplicity 4)
Se4 0.000 0.345 0.319 (multiplicity 4)
Se5 0.000 0.496 0.063 (multiplicity 4)